1.
Here is an optimized crystal structure of K2NaCr from the Alexandria database. Energies are from GGA-PBEsol.

Lattice parameters (Å, degrees): 8.7049 8.7049 8.7049 90.00 90.00 90.00
Closest atoms and distances in Å follow each position.
Space group Fm-3m (No. 225)
One atom of each set of equivalent atoms:
K: 0.2500 0.2500 0.2500 x8  4 Cr 3.77, 4 Na 3.77
Na: 0.0000 0.0000 0.0000 x4  8 K 3.77
Cr: 0.0000 0.0000 0.5000 x4  8 K 3.77

Values from the calculation:
- Total energy: -0.20040 Ry/atom
- ΔE_f: 0.751 eV/atom

2.
Here is an optimized crystal structure of KCr2Co from the Alexandria database. Energies are from GGA-PBEsol.

Lattice parameters (Å, degrees): 2.7115 3.5928 7.4209 90.00 90.00 90.00
Closest atoms and distances in Å follow each position.
Space group Pmmm (No. 47)
One atom of each set of equivalent atoms:
K: 0.0000 0.0000 0.0000 x1  2 K 2.71
Cr: 0.5000 0.5000 0.3707 x2  1 Cr 1.92
Co: 0.0000 0.0000 0.5000 x1  8 Cr 2.45, 2 Co 2.71

Values from the calculation:
- Total energy: -0.47236 Ry/atom
- ΔE_f: 0.912 eV/atom

3.
Here is an optimized crystal structure of KPNO2 from the Alexandria database. Energies are from GGA-PBEsol.

Lattice parameters (Å, degrees): 5.4211 5.4211 7.1047 90.00 90.00 90.00
Closest atoms and distances in Å follow each position.
Space group P4/mmm (No. 123)
One atom of each set of equivalent atoms:
K: 0.0000 0.0000 0.0000 x1  4 O 2.71
P: 0.0000 0.0000 0.5000 x1  2 K 3.55, 4 N 3.83
N: 0.5000 0.5000 0.5000 x1  4 P 3.83
O: 0.0000 0.5000 0.0000 x2  2 K 2.71

Values from the calculation:
- Total energy: -0.21085 Ry/atom
- ΔE_f (raw): 53.53 kcal/mol of atoms

4.
Here is an optimized crystal structure of In2RePPt from the Alexandria database. Energies are from GGA-PBEsol.

Lattice parameters (Å, degrees): 5.1284 5.1284 4.3632 90.00 90.00 90.00
Closest atoms and distances in Å follow each position.
Space group P4/mmm (No. 123)
One atom of each set of equivalent atoms:
In: 0.0000 0.5000 0.0000 x2  2 Re 2.56
Re: 0.0000 0.0000 0.0000 x1  2 P 2.18
P: 0.0000 0.0000 0.5000 x1  2 Re 2.18
Pt: 0.5000 0.5000 0.5000 x1  8 In 3.37, 4 P 3.63

Values from the calculation:
- Total energy: -0.41667 Ry/atom
- ΔE_f: 0.741 eV/atom

5.
Here is an optimized crystal structure of KBeOs2 from the Alexandria database. Energies are from GGA-PBEsol.

Lattice parameters (Å, degrees): 5.3656 9.7514 2.6138 90.00 114.58 90.00
Closest atoms and distances in Å follow each position.
Space group C2/m (No. 12)
One atom of each set of equivalent atoms:
K: 0.0000 0.0000 0.0000 x2  2 K 2.61, 4 Be 2.68-2.86, 4 Os 2.83
Be: 0.0000 0.5000 0.0000 x2  2 Be 2.61, 4 K 2.68-2.86, 4 Os 2.83
Os: 0.2500 0.2500 0.5000 x4  6 Os 2.61-2.86, 2 K 2.83, 2 Be 2.83

Values from the calculation:
- Total energy: -0.44088 Ry/atom
- ΔE_f: 1.393 eV/atom

6.
Here is an optimized crystal structure of Cd4HgPb from the Alexandria database. Energies are from GGA-PBEsol.

Lattice parameters (Å, degrees): 8.2348 8.2348 8.2348 90.00 90.00 90.00
Closest atoms and distances in Å follow each position.
Space group F-43m (No. 216)
One atom of each set of equivalent atoms:
Cd: 0.1248 0.1248 0.1248 x16  6 Cd 2.91-2.92
Hg: 0.2500 0.2500 0.7500 x4  12 Cd 3.41, 4 Pb 3.57
Pb: 0.0000 0.0000 0.5000 x4  12 Cd 3.41, 4 Hg 3.57

Values from the calculation:
- Total energy: -0.11093 Ry/atom
- ΔE_f: 0.050 eV/atom

7.
Here is an optimized crystal structure of Ba2AsP from the Alexandria database. Energies are from GGA-PBEsol.

Lattice parameters (Å, degrees): 11.2947 4.5017 4.9636 90.00 98.29 90.00
Closest atoms and distances in Å follow each position.
Space group Cm (No. 8)
One atom of each set of equivalent atoms:
Ba: 0.0000 0.0000 0.0000 x2  3 P 3.18-3.41, 4 As 3.25-3.54, 1 Ba 3.41
Ba: 0.2430 0.5000 0.5454 x2  4 P 3.22-3.55, 3 As 3.22-3.37, 1 Ba 3.41
As: 0.4550 0.0000 0.4452 x2  1 P 2.37
P: 0.2845 0.0000 0.1050 x2  1 As 2.37

Values from the calculation:
- Total energy: -0.35076 Ry/atom
- ΔE_f: -0.973 eV/atom

8.
Here is an optimized crystal structure of Na2TiWF from the Alexandria database. Energies are from GGA-PBEsol.

Lattice parameters (Å, degrees): 5.7912 5.7912 4.4648 90.00 90.00 90.00
Closest atoms and distances in Å follow each position.
Space group P4/mmm (No. 123)
One atom of each set of equivalent atoms:
Na: 0.0000 0.5000 0.0000 x2  2 W 2.90
Ti: 0.0000 0.0000 0.5000 x1  2 W 2.23
W: 0.0000 0.0000 0.0000 x1  2 Ti 2.23
F: 0.5000 0.5000 0.5000 x1  8 Na 3.66

Values from the calculation:
- Total energy: -0.31400 Ry/atom
- ΔE_f (raw): 25.35 kcal/mol of atoms

9.
Here is an optimized crystal structure of BiHIr3 from the Alexandria database. Energies are from GGA-PBEsol.

Lattice parameters (Å, degrees): 4.0733 4.0733 4.0733 90.00 90.00 90.00
Closest atoms and distances in Å follow each position.
Space group Pm-3m (No. 221)
One atom of each set of equivalent atoms:
Bi: 0.0000 0.0000 0.0000 x1  12 Ir 2.88
H: 0.5000 0.5000 0.5000 x1  6 Ir 2.04
Ir: 0.0000 0.5000 0.5000 x3  2 H 2.04

Values from the calculation:
- Total energy: -0.51685 Ry/atom

10.
Here is an optimized crystal structure of In2CuOsPb from the Alexandria database. Energies are from GGA-PBEsol.

Lattice parameters (Å, degrees): 5.5490 5.5490 4.7031 90.00 90.00 90.00
Closest atoms and distances in Å follow each position.
Space group P4/mmm (No. 123)
One atom of each set of equivalent atoms:
In: 0.0000 0.5000 0.0000 x2  2 Pb 2.77
Cu: 0.0000 0.0000 0.5000 x1  2 Pb 2.35
Os: 0.5000 0.5000 0.5000 x1  8 In 3.64, 4 Cu 3.92
Pb: 0.0000 0.0000 0.0000 x1  2 Cu 2.35

Values from the calculation:
- Total energy: -0.25014 Ry/atom
- ΔE_f: 1.900 eV/atom

11.
Here is an optimized crystal structure of CrCuMo2 from the Alexandria database. Energies are from GGA-PBEsol.

Lattice parameters (Å, degrees): 2.5054 4.0475 5.3092 90.00 90.00 90.00
Closest atoms and distances in Å follow each position.
Space group Pmmm (No. 47)
One atom of each set of equivalent atoms:
Cr: 0.0000 0.0000 0.0000 x1  2 Cr 2.51, 2 Cu 2.65, 8 Mo 2.72
Cu: 0.0000 0.0000 0.5000 x1  2 Cu 2.51, 2 Cr 2.65, 8 Mo 2.73
Mo: 0.5000 0.5000 0.2479 x2  4 Mo 2.51-2.68, 4 Cr 2.72, 4 Cu 2.73

Values from the calculation:
- Total energy: -0.67711 Ry/atom
- ΔE_f: 0.315 eV/atom

12.
Here is an optimized crystal structure of CaHg2H from the Alexandria database. Energies are from GGA-PBEsol.

Lattice parameters (Å, degrees): 6.9707 6.9707 6.9707 90.00 90.00 90.00
Closest atoms and distances in Å follow each position.
Space group Fm-3m (No. 225)
One atom of each set of equivalent atoms:
Ca: 0.0000 0.0000 0.0000 x4  8 Hg 3.02
Hg: 0.2500 0.2500 0.2500 x8  4 H 3.02, 4 Ca 3.02
H: 0.0000 0.0000 0.5000 x4  8 Hg 3.02

Values from the calculation:
- Total energy: -0.11256 Ry/atom

13.
Here is an optimized crystal structure of MnTlMo from the Alexandria database. Energies are from GGA-PBEsol.

Lattice parameters (Å, degrees): 6.2406 6.2406 6.2406 90.00 90.00 90.00
Closest atoms and distances in Å follow each position.
Space group F-43m (No. 216)
One atom of each set of equivalent atoms:
Mn: 0.0000 0.0000 0.0000 x4  4 Tl 2.70
Tl: 0.2500 0.2500 0.7500 x4  4 Mn 2.70, 4 Mo 2.70
Mo: 0.0000 0.0000 0.5000 x4  4 Tl 2.70

Values from the calculation:
- Total energy: -0.49424 Ry/atom
- ΔE_f: 1.329 eV/atom

14.
Here is an optimized crystal structure of Ba2RhAu from the Alexandria database. Energies are from GGA-PBEsol.

Lattice parameters (Å, degrees): 4.5846 4.5113 11.4865 90.00 90.00 90.00
Closest atoms and distances in Å follow each position.
Space group Amm2 (No. 38)
One atom of each set of equivalent atoms:
Ba: 0.0000 0.0000 0.0000 x2  3 Rh 3.28-3.36, 4 Au 3.35
Ba: 0.5000 0.0000 0.2851 x2  3 Au 3.26-3.40, 4 Rh 3.34
Rh: 0.0000 0.0000 0.7076 x2  2 Au 2.72
Au: 0.5000 0.0000 0.5807 x2  2 Rh 2.72

Values from the calculation:
- Total energy: -0.32487 Ry/atom
- ΔE_f: -0.330 eV/atom

15.
Here is an optimized crystal structure of Li3ZnTe from the Alexandria database. Energies are from GGA-PBEsol.

Lattice parameters (Å, degrees): 5.1444 5.1444 5.1444 90.00 90.00 90.00
Closest atoms and distances in Å follow each position.
Space group Pm-3m (No. 221)
One atom of each set of equivalent atoms:
Li: 0.0000 0.0000 0.5000 x3  2 Te 2.57
Zn: 0.5000 0.5000 0.5000 x1  12 Li 3.64
Te: 0.0000 0.0000 0.0000 x1  6 Li 2.57

Values from the calculation:
- Total energy: -0.17818 Ry/atom
- ΔE_f (raw): -5.13 kcal/mol of atoms

16.
Here is an optimized crystal structure of Mg2AlGa2 from the Alexandria database. Energies are from GGA-PBEsol.

Lattice parameters (Å, degrees): 6.7338 6.7338 4.1658 90.00 90.00 90.00
Closest atoms and distances in Å follow each position.
Space group P4/mbm (No. 127)
One atom of each set of equivalent atoms:
Mg: 0.1712 0.3288 0.0000 x4  6 Ga 2.79-2.93
Al: 0.0000 0.0000 0.5000 x2  4 Ga 2.63
Ga: 0.1333 0.6333 0.5000 x4  1 Ga 2.54, 2 Al 2.63, 2 Mg 2.79

Values from the calculation:
- Total energy: -0.21648 Ry/atom
- ΔE_f: -0.104 eV/atom

17.
Here is an optimized crystal structure of CsBeIr2O from the Alexandria database. Energies are from GGA-PBEsol.

Lattice parameters (Å, degrees): 4.0459 4.0459 5.2794 90.00 90.00 90.00
Closest atoms and distances in Å follow each position.
Space group P4/mmm (No. 123)
One atom of each set of equivalent atoms:
Cs: 0.0000 0.0000 0.0000 x1  2 O 2.64, 4 Be 2.86
Be: 0.5000 0.5000 0.0000 x1  4 Cs 2.86
Ir: 0.0000 0.5000 0.5000 x2  2 O 2.02
O: 0.0000 0.0000 0.5000 x1  4 Ir 2.02

Values from the calculation:
- Total energy: -0.35943 Ry/atom
- ΔE_f (raw): 24.85 kcal/mol of atoms

18.
Here is an optimized crystal structure of Ru3Rh from the Alexandria database. Energies are from GGA-PBEsol.

Lattice parameters (Å, degrees): 2.6887 2.6887 8.5111 90.00 90.00 120.00
Closest atoms and distances in Å follow each position.
Space group P-6m2 (No. 187)
One atom of each set of equivalent atoms:
Ru: 0.0000 0.0000 0.0000 x1  12 Ru 2.60-2.69
Ru: 0.6667 0.3333 0.2456 x2  9 Ru 2.60-2.69, 3 Rh 2.66
Rh: 0.0000 0.0000 0.5000 x1  6 Ru 2.66, 6 Rh 2.69

Values from the calculation:
- Total energy: -0.71043 Ry/atom
- ΔE_f: -0.002 eV/atom

19.
Here is an optimized crystal structure of SrSb2TeOs from the Alexandria database. Energies are from GGA-PBEsol.

Lattice parameters (Å, degrees): 4.9890 4.9890 6.0240 90.00 90.00 90.00
Closest atoms and distances in Å follow each position.
Space group P4/mmm (No. 123)
One atom of each set of equivalent atoms:
Sr: 0.0000 0.0000 0.0000 x1  4 Te 3.53, 8 Sb 3.91
Sb: 0.0000 0.5000 0.5000 x2  2 Os 2.49
Te: 0.5000 0.5000 0.0000 x1  2 Os 3.01
Os: 0.5000 0.5000 0.5000 x1  4 Sb 2.49

Values from the calculation:
- Total energy: -0.39168 Ry/atom
- ΔE_f (raw): 0.24 kcal/mol of atoms

20.
Here is an optimized crystal structure of CaTe2Pt from the Alexandria database. Energies are from GGA-PBEsol.

Lattice parameters (Å, degrees): 3.9873 3.9873 26.9347 90.00 90.00 120.00
Closest atoms and distances in Å follow each position.
Space group R-3m (No. 166, hexagonal axes)
One atom of each set of equivalent atoms:
Ca: 0.0000 0.0000 0.0000 x3  2 Te 3.09
Te: 0.0000 0.0000 0.1149 x6  3 Pt 2.69
Pt: 0.0000 0.0000 0.5000 x3  6 Te 2.69

Values from the calculation:
- Total energy: -0.32290 Ry/atom
- ΔE_f (raw): -8.21 kcal/mol of atoms